Entry from the Alexandria database: crystalline TbGaAg at its relaxed geometry (PBE).

Values from the calculation:
energy of formation: -480 meV per atom

Lattice parameters (Å, degrees): 5.7174 5.7174 7.2382 127.80 127.80 47.27
Fractional coordinates of all 6 atoms:
Tb: 0.0351 0.0351 0.2913
Tb: 0.9649 0.9649 0.7087
Ga: 0.3411 0.3411 0.8840
Ga: 0.6589 0.6589 0.1160
Ag: 0.3265 0.3265 0.2772
Ag: 0.6735 0.6735 0.7228